The following is a PBE calculation of a geometry-optimized Tl2ReBr6 structure, from OQMD.

CIF file:
```
data_Tl2ReBr6
_symmetry_space_group_name_H-M 'C 1 2/m 1'
_symmetry_Int_Tables_number 12
_cell_length_a 12.738
_cell_length_b 7.364
_cell_length_c 6.494
_cell_angle_alpha 90.00
_cell_angle_beta 90.89
_cell_angle_gamma 90.00
loop_
_symmetry_equiv_pos_as_xyz
'x,y,z'
'-x,-y,-z'
'-x,y,-z'
'x,-y,z'
'x+1/2,y+1/2,z'
'-x+1/2,-y+1/2,-z'
'-x+1/2,y+1/2,-z'
'x+1/2,-y+1/2,z'
loop_
_atom_site_label
_atom_site_type_symbol
_atom_site_fract_x
_atom_site_fract_y
_atom_site_fract_z
Tl1 Tl 0.169 0.000 0.158
Re1 Re 0.000 0.500 0.000
Br1 Br 0.080 0.257 0.776
Br2 Br 0.163 0.500 0.227
```

DFT total energy = -32.1 eV/f.u.